1.
Density functional theory data (PBEsol) for Al2CuTe after structural relaxation.

Raw formation energy ... 0.169 eV/atom

Lattice parameters (Å, degrees): 3.480 3.480 5.935 90.00 90.00 90.00
Space group P4/mmm (No. 123)
Inequivalent atoms, fractional coordinates:
Al1 0.000 0.000 0.220 (multiplicity 2)
Cu1 0.500 0.500 0.000 (multiplicity 1)
Te1 0.500 0.500 0.500 (multiplicity 1)



2.
Density functional theory data (PBEsol) for AlCuTe2 after structural relaxation.

Raw formation energy ... -0.287 eV/atom

Lattice parameters (Å, degrees): 5.996 5.996 11.942 90.00 90.00 90.00
Space group I-42d (No. 122)
Inequivalent atoms, fractional coordinates:
Al1 0.000 0.000 0.000 (multiplicity 4)
Cu1 0.000 0.000 0.500 (multiplicity 4)
Te1 0.237 0.250 0.625 (multiplicity 8)



3.
Density functional theory data (PBEsol) for AlCuTe2 after structural relaxation.

Raw formation energy ... -0.083 eV/atom

Lattice parameters (Å, degrees): 14.056 3.731 3.739 90.00 90.07 90.00
Space group Cm (No. 8)
Inequivalent atoms, fractional coordinates:
Al1 0.000 0.000 0.000 (multiplicity 2)
Cu1 0.371 0.000 0.516 (multiplicity 2)
Te1 0.064 0.500 0.500 (multiplicity 2)
Te2 0.314 0.500 0.014 (multiplicity 2)



4.
Density functional theory data (PBEsol) for AlCuTe3 after structural relaxation.

Raw formation energy ... 0.422 eV/atom

Lattice parameters (Å, degrees): 5.099 5.099 5.099 90.00 90.00 90.00
Space group Pm-3m (No. 221)
Inequivalent atoms, fractional coordinates:
Al1 0.000 0.000 0.000 (multiplicity 1)
Cu1 0.500 0.500 0.500 (multiplicity 1)
Te1 0.000 0.500 0.500 (multiplicity 3)



5.
Density functional theory data (PBEsol) for AlCuTe2 after structural relaxation.

Raw formation energy ... 0.264 eV/atom

Lattice parameters (Å, degrees): 3.424 3.424 7.052 90.00 90.00 90.00
Space group P4/mmm (No. 123)
Inequivalent atoms, fractional coordinates:
Al1 0.000 0.000 0.000 (multiplicity 1)
Cu1 0.000 0.000 0.500 (multiplicity 1)
Te1 0.500 0.500 0.263 (multiplicity 2)



6.
Density functional theory data (PBEsol) for Al2CuTe after structural relaxation.

Raw formation energy ... 0.189 eV/atom

Lattice parameters (Å, degrees): 3.736 3.831 10.702 90.00 90.00 90.00
Space group Immm (No. 71)
Inequivalent atoms, fractional coordinates:
Al1 0.000 0.000 0.209 (multiplicity 4)
Cu1 0.000 0.500 0.500 (multiplicity 2)
Te1 0.000 0.500 0.000 (multiplicity 2)



7.
Density functional theory data (PBEsol) for ThAlCu2 after structural relaxation.

Lattice parameters (Å, degrees): 6.595 6.595 6.595 90.00 90.00 90.00
Space group Fm-3m (No. 225)
Inequivalent atoms, fractional coordinates:
Th1 0.000 0.000 0.000 (multiplicity 4)
Al1 0.000 0.000 0.500 (multiplicity 4)
Cu1 0.250 0.250 0.250 (multiplicity 8)



8.
Density functional theory data (PBEsol) for TiAlCu3 after structural relaxation.

Lattice parameters (Å, degrees): 4.304 4.304 4.304 90.00 90.00 90.00
Space group Pm-3m (No. 221)
Inequivalent atoms, fractional coordinates:
Ti1 0.000 0.000 0.000 (multiplicity 1)
Al1 0.500 0.500 0.500 (multiplicity 1)
Cu1 0.000 0.500 0.500 (multiplicity 3)



no.,energy (eV per atom)
1,-3.84
2,-4.16
3,-3.95
4,-3.38
5,-3.61
6,-3.82
7,-5.46
8,-4.40